1.
The following is a PBE calculation of a geometry-optimized TaAl2Hg structure, from Alexandria.

Output
formation energy from the elements: 4.9 kJ per mole of atoms
crystal system: orthorhombic
space-group type: No. 47

a b c (Å): 2.9619 4.2429 5.7684
angles (deg): 90.00 90.00 90.00
Fractional positions:
Ta: 0.0000 0.0000 0.0000
Al: 0.5000 0.5000 0.2218
Al: 0.5000 0.5000 0.7782
Hg: 0.5000 0.0000 0.5000


2.
The following is a PBE calculation of a geometry-optimized TaAl2Hg structure, from Alexandria.

Output
formation energy from the elements: 3.7 kJ per mole of atoms
crystal system: trigonal
space-group type: No. 166

a b c (Å): 3.0233 3.0233 28.0092
angles (deg): 90.00 90.00 120.00
Fractional positions:
Ta: 0.0000 0.0000 0.0000
Ta: 0.3333 0.6667 0.6667
Ta: 0.6667 0.3333 0.3333
Al: 0.0000 0.0000 0.2534
Al: 0.0000 0.0000 0.7466
Al: 0.3333 0.6667 0.4133
Al: 0.3333 0.6667 0.9200
Al: 0.6667 0.3333 0.0800
Al: 0.6667 0.3333 0.5867
Hg: 0.0000 0.0000 0.5000
Hg: 0.3333 0.6667 0.1667
Hg: 0.6667 0.3333 0.8333


3.
The following is a PBE calculation of a geometry-optimized TaAl2VHg structure, from Alexandria.

Output
formation energy from the elements: 146.6 kJ per mole of atoms
crystal system: tetragonal
space-group type: No. 123

a b c (Å): 4.6764 4.6764 4.9519
angles (deg): 90.00 90.00 90.00
Fractional positions:
Ta: 0.0000 0.0000 0.0000
Al: 0.0000 0.5000 0.5000
Al: 0.5000 0.0000 0.5000
V: 0.5000 0.5000 0.0000
Hg: 0.5000 0.5000 0.5000


4.
The following is a PBE calculation of a geometry-optimized YTaAlHg2 structure, from Alexandria.

Output
formation energy from the elements: 55.0 kJ per mole of atoms
crystal system: tetragonal
space-group type: No. 123

a b c (Å): 4.9361 4.9361 5.0120
angles (deg): 90.00 90.00 90.00
Fractional positions:
Y: 0.0000 0.0000 0.0000
Ta: 0.5000 0.5000 0.0000
Al: 0.5000 0.5000 0.5000
Hg: 0.0000 0.5000 0.5000
Hg: 0.5000 0.0000 0.5000


5.
The following is a PBE calculation of a geometry-optimized TbAlHg2 structure, from Alexandria.

Output
formation energy from the elements: -28.2 kJ per mole of atoms
crystal system: tetragonal
space-group type: No. 123

a b c (Å): 4.5122 4.5122 4.4729
angles (deg): 90.00 90.00 90.00
Fractional positions:
Tb: 0.0000 0.0000 0.0000
Al: 0.5000 0.5000 0.0000
Hg: 0.0000 0.5000 0.5000
Hg: 0.5000 0.0000 0.5000


6.
The following is a PBE calculation of a geometry-optimized Tb6AlHg2 structure, from Alexandria.

Output
relative energy among the computed polymorphs: 0.010 eV/atom
formation energy from the elements: -24.6 kJ per mole of atoms
crystal system: orthorhombic
space-group type: No. 71

a b c (Å): 8.7327 8.7327 8.7327
angles (deg): 110.19 109.77 108.46
Fractional positions:
Tb: 0.0583 0.2307 0.8276
Tb: 0.2539 0.3050 0.5588
Tb: 0.2539 0.6950 0.9489
Tb: 0.2638 0.5879 0.3242
Tb: 0.2638 0.9396 0.6758
Tb: 0.4031 0.2307 0.1724
Tb: 0.5969 0.7693 0.8276
Tb: 0.7362 0.0604 0.3242
Tb: 0.7362 0.4121 0.6758
Tb: 0.7461 0.3050 0.0511
Tb: 0.7461 0.6950 0.4412
Tb: 0.9417 0.7693 0.1724
Al: 0.0000 0.5000 0.5000
Al: 0.5000 0.5000 0.0000
Hg: 0.0000 0.1494 0.1494
Hg: 0.0000 0.8506 0.8506
Hg: 0.3580 0.0000 0.3580
Hg: 0.6420 0.0000 0.6420


7.
The following is a PBE calculation of a geometry-optimized Tb5Al2Hg2 structure, from Alexandria.

Output
formation energy from the elements: -36.4 kJ per mole of atoms
crystal system: orthorhombic
space-group type: No. 64

a b c (Å): 9.0453 9.0453 7.6976
angles (deg): 90.00 90.00 51.03
Fractional positions:
Tb: 0.0000 0.0000 0.0000
Tb: 0.0491 0.6815 0.6741
Tb: 0.1815 0.5491 0.1741
Tb: 0.3185 0.9509 0.6741
Tb: 0.4509 0.8185 0.1741
Tb: 0.5000 0.5000 0.5000
Tb: 0.5491 0.1815 0.8259
Tb: 0.6815 0.0491 0.3259
Tb: 0.8185 0.4509 0.8259
Tb: 0.9509 0.3185 0.3259
Al: 0.1188 0.8812 0.3809
Al: 0.3812 0.6188 0.8809
Al: 0.6188 0.3812 0.1191
Al: 0.8812 0.1188 0.6191
Hg: 0.2146 0.2146 0.0000
Hg: 0.2854 0.2854 0.5000
Hg: 0.7146 0.7146 0.5000
Hg: 0.7854 0.7854 0.0000


8.
The following is a PBE calculation of a geometry-optimized Tb2AlHg3 structure, from Alexandria.

Output
formation energy from the elements: -40.1 kJ per mole of atoms
crystal system: orthorhombic
space-group type: No. 69

a b c (Å): 9.6218 9.0679 5.9721
angles (deg): 76.48 66.40 37.12
Fractional positions:
Tb: 0.2430 0.7570 0.7570
Tb: 0.2500 0.2500 0.2500
Tb: 0.7500 0.7500 0.7500
Tb: 0.7570 0.2430 0.2430
Al: 0.3327 0.3327 0.6673
Al: 0.6673 0.6673 0.3327
Hg: 0.1714 0.1714 0.8286
Hg: 0.1743 0.6542 0.3458
Hg: 0.3458 0.8257 0.1743
Hg: 0.6542 0.1743 0.8257
Hg: 0.8257 0.3458 0.6542
Hg: 0.8286 0.8286 0.1714